Arrangement 1

Computed, not measured: RuC2 after structural relaxation at the PBE-GGA level of DFT.

The space group is Immm (No. 71) and the conventional cell measures 2.7847, 4.4461 and 4.5441 Å, with angles of 90.00, 90.00 and 90.00 degrees. The inequivalent atoms are Ru at (0.0000, 0.0000, 0.0000) and C at (0.0000, 0.5000, 0.1501).

The density comes out at 7.38 g/cm³. The calculation puts the volume at 56 Å³ per cell. The value obtained for the magnetic moment is 0.00 Bohr magnetons per cell.


Arrangement 2

Computed, not measured: RuC2 after structural relaxation at the PBE-GGA level of DFT.

The space group is P6_3/mmc (No. 194) and the conventional cell measures 2.8537, 2.8537 and 7.9891 Å, with angles of 90.00, 90.00 and 120.00 degrees. The inequivalent atoms are Ru at (0.3333, 0.6667, 0.2500) and C at (0.0000, 0.0000, 0.0881).

The density comes out at 7.37 g/cm³. The calculation puts the volume at 56 Å³ per cell. The value obtained for the magnetic moment is 0.00 Bohr magnetons per cell.


Most stable = arrangement 2


Arrangement 1

Computed, not measured: Ru4C3 after structural relaxation at the PBE-GGA level of DFT.

The space group is Pm-3m (No. 221) and the conventional cell measures 4.2436, 4.2436 and 4.2436 Å, with angles of 90.00, 90.00 and 90.00 degrees. The inequivalent atoms are Ru at (0.0000, 0.0000, 0.0000), Ru at (0.0000, 0.5000, 0.5000) and C at (0.0000, 0.0000, 0.5000).

The density comes out at 9.57 g/cm³. The calculation puts the volume at 76 Å³ per cell. The value obtained for the magnetic moment is 1.20 Bohr magnetons per cell.


Arrangement 2

Computed, not measured: Ru4C3 after structural relaxation at the PBE-GGA level of DFT.

The space group is P-43m (No. 215) and the conventional cell measures 4.4723, 4.4723 and 4.4723 Å, with angles of 90.00, 90.00 and 90.00 degrees. The inequivalent atoms are Ru at (0.2478, 0.2478, 0.7522) and C at (0.0000, 0.5000, 0.5000).

The density comes out at 8.17 g/cm³. The calculation puts the volume at 89 Å³ per cell. The value obtained for the magnetic moment is 0.00 Bohr magnetons per cell.


Arrangement 3

Computed, not measured: Ru4C3 after structural relaxation at the PBE-GGA level of DFT.

The space group is I4/mmm (No. 139) and the conventional cell measures 2.7498, 2.7498 and 19.4527 Å, with angles of 90.00, 90.00 and 90.00 degrees. The inequivalent atoms are Ru at (0.0000, 0.0000, 0.0641), Ru at (0.0000, 0.0000, 0.3250), C at (0.0000, 0.0000, 0.2147) and C at (0.0000, 0.0000, 0.5000).

The density comes out at 9.94 g/cm³. The calculation puts the volume at 147 Å³ per cell. The value obtained for the magnetic moment is 0.00 Bohr magnetons per cell.


Most stable = arrangement 2


Arrangement 1

Computed, not measured: Ru2C after structural relaxation at the PBE-GGA level of DFT.

The space group is P-62m (No. 189) and the conventional cell measures 5.5058, 5.5058 and 3.9406 Å, with angles of 90.00, 90.00 and 120.00 degrees. The inequivalent atoms are Ru at (0.0000, 0.2894, 0.0000), Ru at (0.0000, 0.6301, 0.5000), C at (0.0000, 0.0000, 0.5000) and C at (0.3333, 0.6667, 0.0000).

The density comes out at 10.31 g/cm³. The calculation puts the volume at 103 Å³ per cell. The value obtained for the magnetic moment is 0.00 Bohr magnetons per cell.


Arrangement 2

Computed, not measured: Ru2C after structural relaxation at the PBE-GGA level of DFT.

The space group is Pa-3 (No. 205) and the conventional cell measures 5.1643, 5.1643 and 5.1643 Å, with angles of 90.00, 90.00 and 90.00 degrees. The inequivalent atoms are Ru at (0.1604, 0.1604, 0.1604) and C at (0.0000, 0.0000, 0.5000).

The density comes out at 10.33 g/cm³. The calculation puts the volume at 138 Å³ per cell. The value obtained for the magnetic moment is 0.00 Bohr magnetons per cell.


Most stable = arrangement 2